Compound: ErLuInPd
Source: Alexandria
Functional: GGA-PBE
Structure: relaxed

VASP energy: -78.01 eV/cell
Calculated formation energy: -14.34 kcal/mol of atoms

a b c (Å): 7.1917 7.1917 7.1917
angles (deg): 90.00 90.00 90.00
Space group F-43m (No. 216)
Inequivalent atoms, fractional coordinates:
Er: 0.0000 0.0000 0.0000
Lu: 0.0000 0.0000 0.5000
In: 0.2500 0.2500 0.2500
Pd: 0.2500 0.2500 0.7500